[1]
Material: Cs2BAuI6
Method: DFT, PBE
State: relaxed

Computed properties:
volume = 426 Å³ per cell
electronic total energy = -2.52 eV per atom

Lattice parameters (Å, degrees): 8.276 8.276 8.276 114.84 114.84 99.19
Atoms (fractional coordinates):
Cs 0.250 0.750 0.500
Cs 0.750 0.250 0.500
B 0.000 0.000 0.000
Au 0.500 0.500 0.000
I 0.193 0.193 0.000
I 0.271 0.271 0.542
I 0.271 0.729 0.000
I 0.729 0.271 0.000
I 0.729 0.729 0.458
I 0.807 0.807 0.000

[2]
Material: CsBAu2N
Method: DFT, PBE
State: relaxed

Computed properties:
volume = 264 Å³ per cell
electronic total energy = -1.72 eV per atom

Lattice parameters (Å, degrees): 6.491 6.491 6.261 90.00 90.00 90.00
Atoms (fractional coordinates):
Cs 0.000 0.000 0.000
B 0.000 0.000 0.500
Au 0.000 0.500 0.000
Au 0.500 0.000 0.000
N 0.500 0.500 0.500

[3]
Material: Cs3B2AuS6
Method: DFT, PBE
State: relaxed

Computed properties:
volume = 370 Å³ per cell
electronic total energy = -4.20 eV per atom

Lattice parameters (Å, degrees): 6.857 6.857 9.080 90.00 90.00 120.00
Atoms (fractional coordinates):
Cs 0.000 0.000 0.000
Cs 0.333 0.667 0.690
Cs 0.667 0.333 0.310
B 0.333 0.667 0.327
B 0.667 0.333 0.673
Au 0.000 0.000 0.500
S 0.179 0.358 0.311
S 0.179 0.821 0.311
S 0.358 0.179 0.689
S 0.642 0.821 0.311
S 0.821 0.179 0.689
S 0.821 0.642 0.689

[4]
Material: CsTcBAu2
Method: DFT, PBE
State: relaxed

Computed properties:
E_form = 0.727 eV/atom
volume = 123 Å³ per cell
electronic total energy = -4.16 eV per atom

Lattice parameters (Å, degrees): 5.439 5.439 4.172 90.00 90.00 90.00
Atoms (fractional coordinates):
Cs 0.000 0.000 0.000
Tc 0.500 0.500 0.500
B 0.500 0.500 0.000
Au 0.000 0.500 0.500
Au 0.500 0.000 0.500

[5]
Material: CsTiBAu2
Method: DFT, PBE
State: relaxed

Computed properties:
E_form = 0.465 eV/atom
volume = 103 Å³ per cell
electronic total energy = -3.93 eV per atom

Lattice parameters (Å, degrees): 4.705 4.705 4.668 90.00 90.00 90.00
Atoms (fractional coordinates):
Cs 0.000 0.000 0.000
Ti 0.500 0.500 0.000
B 0.500 0.500 0.500
Au 0.000 0.500 0.500
Au 0.500 0.000 0.500

[6]
Material: Cu3BAu
Method: DFT, PBE
State: relaxed

Computed properties:
E_form = 0.212 eV/atom
excess energy over the best structure of this formula in the dataset = 0.0 meV/atom
volume = 63 Å³ per cell
electronic total energy = -4.24 eV per atom

Lattice parameters (Å, degrees): 3.986 3.986 3.986 90.00 90.00 90.00
Atoms (fractional coordinates):
Cu 0.000 0.000 0.500
Cu 0.000 0.500 0.000
Cu 0.500 0.000 0.000
B 0.000 0.000 0.000
Au 0.500 0.500 0.500

[7]
Material: CuB2Au
Method: DFT, PBE
State: relaxed

Computed properties:
E_form = 1.123 eV/atom
excess energy over the best structure of this formula in the dataset = 545.0 meV/atom
volume = 43 Å³ per cell
electronic total energy = -4.06 eV per atom

Lattice parameters (Å, degrees): 3.940 3.940 3.940 60.00 60.00 60.00
Atoms (fractional coordinates):
Cu 0.000 0.000 0.000
B 0.250 0.250 0.250
B 0.750 0.750 0.750
Au 0.500 0.500 0.500

[8]
Material: CuBAu2
Method: DFT, PBE
State: relaxed

Computed properties:
E_form = 0.401 eV/atom
volume = 125 Å³ per cell
electronic total energy = -3.93 eV per atom

Lattice parameters (Å, degrees): 5.774 5.774 5.774 98.33 98.33 135.25
Atoms (fractional coordinates):
Cu 0.000 0.000 0.000
Cu 0.750 0.250 0.500
B 0.250 0.750 0.500
B 0.500 0.500 0.000
Au 0.251 0.625 0.126
Au 0.375 0.501 0.626
Au 0.499 0.125 0.874
Au 0.875 0.749 0.374